Density functional theory data (GGA+U) for a relaxed BaNiAgF6 crystal.

Unit cell a=5.5742 b=5.5841 c=5.6132 alpha=90.84 beta=117.16 gamma=91.07
Space group P1 (No. 1)
Inequivalent atoms, fractional coordinates:
1 Ba 0.0000 0.0000 0.0000
2 Ni 0.3333 0.5022 0.6690
3 Ag 0.6680 0.5005 0.3311
4 F 0.0283 0.6901 0.3725
5 F 0.0519 0.2764 0.6628
6 F 0.3462 0.7324 0.9482
7 F 0.3626 0.2914 0.3763
8 F 0.6263 0.7099 0.6347
9 F 0.6295 0.3135 0.9742

Output
Density, Mg/m³: 4.47
Calculated volume, Å³ per cell: 155.4
Energy, eV per atom: -4.435